Record 1
The following is a DFT calculation (GGA-PBE) of crystalline HfNiBi2Rh at its relaxed geometry.

Summary:
Energy of formation from the pure elements ... 0.571 eV per atom
Magnetic moment ... 0.0 μB per formula unit
Symmetry ... No. 123
Total DFT energy (no corrections) ... -0.4115 Ry/atom

Unit cell a=4.953 b=4.780 c=4.953 alpha=90.00 beta=90.00 gamma=90.00
Fractional coordinates of all 5 atoms:
Ni (0.000, 0.000, 0.000)
Hf (0.000, 0.500, 0.000)
Rh (0.500, 0.500, 0.500)
Bi (0.500, 0.000, 0.000)
Bi (0.000, 0.000, 0.500)

Record 2
The following is a DFT calculation (GGA-PBE) of crystalline Sr2MoCl at its relaxed geometry.

Summary:
Magnetic moment ... 3.1 μB per formula unit
Raw formation energy ... 67 meV per atom
Symmetry ... No. 38
Total DFT energy (no corrections) ... -0.2898 Ry/atom
Excess energy over the best structure of this formula in the dataset ... 0.66 eV per formula unit

Unit cell a=6.382 b=6.382 c=5.344 alpha=90.02 beta=90.02 gamma=33.73
Fractional coordinates of all 4 atoms:
Sr (0.006, 0.006, 0.125)
Mo (0.268, 0.268, 0.125)
Sr (0.740, 0.740, 0.625)
Cl (0.486, 0.486, 0.625)

Record 3
The following is a DFT calculation (GGA-PBE) of crystalline SiOs2Pt at its relaxed geometry.

Summary:
Magnetic moment ... 0.0 μB per formula unit
Raw formation energy ... -36 meV per atom
Symmetry ... No. 6
Total DFT energy (no corrections) ... -0.6260 Ry/atom

Unit cell a=3.899 b=2.803 c=5.471 alpha=75.23 beta=90.00 gamma=90.00
Fractional coordinates of all 4 atoms:
Os (0.500, 0.327, 0.223)
Si (0.500, 0.547, 0.776)
Os (0.000, 0.941, 0.994)
Pt (0.000, 0.685, 0.506)

Record 4
The following is a DFT calculation (GGA-PBE) of crystalline Tm4ZnAu3 at its relaxed geometry.

Summary:
Energy of formation from the pure elements ... -0.761 eV per atom
Magnetic moment ... 0.0 μB per formula unit
Symmetry ... No. 123
Total DFT energy (no corrections) ... -0.3223 Ry/atom
Excess energy over the best structure of this formula in the dataset ... 0.00 eV per formula unit

Unit cell a=3.552 b=3.552 c=14.098 alpha=90.00 beta=90.00 gamma=90.00
Fractional coordinates of all 8 atoms:
Au (0.500, 0.500, 0.500)
Au (0.500, 0.500, 0.244)
Au (0.500, 0.500, 0.756)
Tm (0.000, 0.000, 0.627)
Tm (0.000, 0.000, 0.373)
Zn (0.500, 0.500, 0.000)
Tm (0.000, 0.000, 0.123)
Tm (0.000, 0.000, 0.877)